Dy7HoMg4: optimized geometry, PBE.

a = 15.0481 Å, b = 5.7283 Å, c = 9.6447 Å
α = 90.00°, β = 121.67°, γ = 90.00°
Space group C2/m (No. 12)
Inequivalent atoms, fractional coordinates:
Dy (0.0000, 0.0000, 0.0000)
Dy (0.0797, 0.5000, 0.4244)
Dy (0.2018, 0.5000, 0.8778)
Dy (0.2494, 0.0000, 0.7120)
Ho (0.0000, 0.5000, 0.0000)
Mg (0.0418, 0.0000, 0.6978)
Mg (0.1750, 0.0000, 0.3458)

Summary:
The value obtained for the formation enthalpy at 0 K is 2.091 eV/f.u.